1.
A plane-wave DFT calculation with PBE was carried out for a relaxed structure of Bi2TeIClO8.

a b c (Å): 11.4028 11.4028 15.3311
angles (deg): 103.77 103.77 27.34
With the nearest neighbours (Å) after each atom.
Sites, in units of the cell vectors:
1 Bi 0.1030 0.4960 0.6575  4 O 2.26-2.49
2 Bi 0.1267 0.8733 0.5000  6 O 2.29-2.50
3 Bi 0.2043 0.4620 0.9156  4 O 2.31-2.46
4 Bi 0.2495 0.8186 0.7633  5 O 2.30-2.54
5 Bi 0.4620 0.2043 0.4156  4 O 2.31-2.46
6 Bi 0.4960 0.1030 0.1575  4 O 2.26-2.49
7 Bi 0.8186 0.2495 0.2633  5 O 2.30-2.54
8 Bi 0.8733 0.1267 0.0000  6 O 2.29-2.50
9 Te 0.0787 0.7165 0.2929  6 O 1.92-2.05
10 Te 0.2582 0.6201 0.1188  6 O 1.92-2.03
11 Te 0.6201 0.2582 0.6188  6 O 1.92-2.03
12 Te 0.7165 0.0787 0.7929  6 O 1.92-2.05
13 I 0.3860 0.8974 0.2184  3 O 1.82-1.87
14 I 0.4687 0.8790 0.5226  3 O 1.84
15 I 0.8790 0.4687 0.0226  3 O 1.84
16 I 0.8974 0.3860 0.7184  3 O 1.82-1.87
17 Cl 0.4513 0.6689 0.9452  2 Bi 2.87-3.13, 1 I 3.03, 1 O 3.06
18 Cl 0.6689 0.4513 0.4452  2 Bi 2.87-3.13, 1 I 3.03, 1 O 3.06
19 Cl 0.7144 0.8373 0.9594  1 Bi 2.81, 1 I 3.03
20 Cl 0.8373 0.7144 0.4594  1 Bi 2.81, 1 I 3.03
21 O 0.0426 0.4083 0.7606  1 I 1.84
22 O 0.0576 0.1738 0.8057  1 I 1.87
23 O 0.0984 0.7449 0.9988  1 Te 1.94
24 O 0.1051 0.9162 0.1464  1 Te 1.96
25 O 0.1738 0.0576 0.3057  1 I 1.87
26 O 0.1775 0.2928 0.0517  1 I 1.84
27 O 0.2130 0.4368 0.2595  1 Te 1.92
28 O 0.2426 0.5810 0.4108  1 Te 1.93
29 O 0.2484 0.9808 0.5677  1 I 1.84
30 O 0.2928 0.1775 0.5517  1 I 1.84
31 O 0.3589 0.3692 0.5739  1 Te 1.92
32 O 0.3692 0.3589 0.0739  1 Te 1.92
33 O 0.3911 0.5042 0.2434  2 Te 1.99-2.05
34 O 0.4042 0.5832 0.6090  1 Te 1.92
35 O 0.4083 0.0426 0.2606  1 I 1.84
36 O 0.4368 0.2130 0.7595  1 Te 1.92
37 O 0.5042 0.3911 0.7434  2 Te 1.99-2.05
38 O 0.5810 0.2426 0.9108  1 Te 1.93
39 O 0.5832 0.4042 0.1090  1 Te 1.92
40 O 0.5842 0.6760 0.7655  1 I 1.82
41 O 0.6760 0.5842 0.2655  1 I 1.82
42 O 0.6800 0.7192 0.1141  1 I 1.84
43 O 0.7192 0.6800 0.6141  1 I 1.84
44 O 0.7391 0.9631 0.3049  1 Te 1.92
45 O 0.7449 0.0984 0.4988  1 Te 1.94
46 O 0.8352 0.9474 0.6685  2 Te 1.99-2.03
47 O 0.9162 0.1051 0.6464  1 Te 1.96
48 O 0.9474 0.8352 0.1685  2 Te 1.99-2.03
49 O 0.9604 0.9933 0.8399  1 Te 1.94
50 O 0.9631 0.7391 0.8049  1 Te 1.92
51 O 0.9808 0.2484 0.0677  1 I 1.84
52 O 0.9933 0.9604 0.3399  1 Te 1.94

The density is 6.26 g cm⁻³. Its space group is Cc, No. 9. The uncorrected formation energy is -0.923 eV/atom. As for the total magnetization: 0.00 μB/cell.

=====

2.
A plane-wave DFT calculation with PBE was carried out for a relaxed structure of HfMg2Cd2.

a b c (Å): 8.2687 8.2687 3.1362
angles (deg): 90.00 90.00 90.00
With the nearest neighbours (Å) after each atom.
Sites, in units of the cell vectors:
1 Hf 0.0000 0.0000 0.0000  2 Hf 3.14, 4 Cd 3.24, 8 Mg 3.44
2 Hf 0.5000 0.5000 0.0000  2 Hf 3.14, 4 Cd 3.24, 8 Mg 3.44
3 Mg 0.1717 0.3283 0.5000  6 Cd 2.80-2.97, 2 Mg 3.14
4 Mg 0.3283 0.8283 0.5000  6 Cd 2.80-2.97, 2 Mg 3.14
5 Mg 0.6717 0.1717 0.5000  6 Cd 2.80-2.97, 2 Mg 3.14
6 Mg 0.8283 0.6717 0.5000  6 Cd 2.80-2.97, 2 Mg 3.14
7 Cd 0.1297 0.6297 0.0000  6 Mg 2.80-2.97, 3 Cd 3.03-3.14
8 Cd 0.3703 0.1297 0.0000  6 Mg 2.80-2.97, 3 Cd 3.03-3.14
9 Cd 0.6297 0.8703 0.0000  6 Mg 2.80-2.97, 3 Cd 3.03-3.14
10 Cd 0.8703 0.3703 0.0000  6 Mg 2.80-2.97, 3 Cd 3.03-3.14

The density is 7.00 g cm⁻³. Its space group is P4/mbm, No. 127. Its energy relative to the elements is 81 meV per atom. The calculation puts the excess energy over the best structure of this formula in the dataset at 0.00 kcal/mol of atoms. As for the total magnetization: 0.00 μB/cell.

=====

3.
A plane-wave DFT calculation with PBE was carried out for a relaxed structure of Np2Al8Ir.

a b c (Å): 4.2764 4.2764 11.1902
angles (deg): 90.00 90.00 90.00
With the nearest neighbours (Å) after each atom.
Sites, in units of the cell vectors:
1 Np 0.0000 0.0000 0.1897  12 Al 3.00-3.02
2 Np 0.0000 0.0000 0.8103  12 Al 3.00-3.02
3 Al 0.0000 0.5000 0.0000  4 Np 3.01, 8 Al 3.02-3.04
4 Al 0.0000 0.5000 0.3771  2 Ir 2.54, 1 Al 2.75
5 Al 0.0000 0.5000 0.6229  2 Ir 2.54, 1 Al 2.75
6 Al 0.5000 0.0000 0.0000  4 Np 3.01, 8 Al 3.02-3.04
7 Al 0.5000 0.0000 0.3771  2 Ir 2.54, 1 Al 2.75
8 Al 0.5000 0.0000 0.6229  2 Ir 2.54, 1 Al 2.75
9 Al 0.5000 0.5000 0.1927  8 Al 2.97-3.04, 4 Np 3.02
10 Al 0.5000 0.5000 0.8073  8 Al 2.97-3.04, 4 Np 3.02
11 Ir 0.0000 0.0000 0.5000  8 Al 2.54

The density is 7.16 g cm⁻³. Its space group is P4/mmm, No. 123. Its energy relative to the elements is -327 meV per atom. As for the total magnetization: 7.78 μB/cell.